The following is a DFT calculation (PBE) of a relaxed Zn2CrTcAs crystal.

Results
volume: 19.44 Å³/atom
energy of formation from the pure elements: 1162 meV/atom
raw total energy: -4.2758 eV/atom

Cell lengths 4.6211, 4.6211, 4.5522 Å; angles 90.00, 90.00, 90.00 degrees
Space group P4/mmm (No. 123)
One atom of each set of equivalent atoms:
Zn (0.0000, 0.5000, 0.0000) (multiplicity 2)
Cr (0.0000, 0.0000, 0.5000) (multiplicity 1)
Tc (0.5000, 0.5000, 0.5000) (multiplicity 1)
As (0.0000, 0.0000, 0.0000) (multiplicity 1)